Record 1
The following is a DFT calculation (PBE) of crystalline Tc2HgBiMo at its relaxed geometry.

CIF file:
```
data_Tc2HgBiMo
_space_group_name_H-M_alt 'P 4/m m m'
_space_group_IT_number 123
_space_group_name_Hall '-P 4 2'
_cell_length_a 5.116
_cell_length_b 5.116
_cell_length_c 5.198
_cell_angle_alpha 90.00
_cell_angle_beta 90.00
_cell_angle_gamma 90.00
loop_
_atom_site_label
_atom_site_fract_x
_atom_site_fract_y
_atom_site_fract_z
Tc1 0.000 0.500 0.000
Hg1 0.000 0.000 0.000
Bi1 0.500 0.500 0.500
Mo1 0.000 0.000 0.500
```

Summary:
Fermi-level density of states	7.542	states/eV per cell
relative energy among the computed polymorphs	0.00	kJ/mol of atoms
calculated total energy	-24.7	eV per cell
DFT formation energy	2.22	eV per atom


Record 2
The following is a DFT calculation (PBE) of crystalline TlZnF3 at its relaxed geometry.

CIF file:
```
data_TlZnF3
_space_group_name_H-M_alt 'P 1 21/c 1'
_space_group_IT_number 14
_space_group_name_Hall '-P 2ybc'
_cell_length_a 8.192
_cell_length_b 5.453
_cell_length_c 7.734
_cell_angle_alpha 90.00
_cell_angle_beta 108.76
_cell_angle_gamma 90.00
loop_
_atom_site_label
_atom_site_fract_x
_atom_site_fract_y
_atom_site_fract_z
Tl1 0.133 0.223 0.141
Zn1 0.424 0.747 0.891
F1 0.184 0.658 0.270
F2 0.343 0.089 0.469
F3 0.449 0.568 0.648
```

Summary:
formation energy without anion corrections	-2.1022	eV/atom
Fermi-level density of states	0.000	states/eV per cell
calculated total energy	-79.1	eV per cell


Record 3
The following is a DFT calculation (PBE) of crystalline Be2AsW at its relaxed geometry.

CIF file:
```
data_Be2AsW
_space_group_name_H-M_alt 'P 1 m 1'
_space_group_IT_number 6
_space_group_name_Hall 'P -2y'
_cell_length_a 2.663
_cell_length_b 4.061
_cell_length_c 4.772
_cell_angle_alpha 90.00
_cell_angle_beta 93.91
_cell_angle_gamma 90.00
loop_
_atom_site_label
_atom_site_fract_x
_atom_site_fract_y
_atom_site_fract_z
Be1 0.000 0.000 0.000
Be2 0.031 0.500 0.229
As1 0.048 0.000 0.495
W1 0.439 0.500 0.786
```

Summary:
Fermi-level density of states	0.769	states/eV per cell
calculated total energy	-24.1	eV per cell
DFT formation energy	0.25	eV per atom


Record 4
The following is a DFT calculation (PBE) of crystalline ZrAsI3 at its relaxed geometry.

CIF file:
```
data_ZrAsI3
_space_group_name_H-M_alt 'P m -3 m'
_space_group_IT_number 221
_space_group_name_Hall '-P 4 2 3'
_cell_length_a 5.684
_cell_length_b 5.684
_cell_length_c 5.684
_cell_angle_alpha 90.00
_cell_angle_beta 90.00
_cell_angle_gamma 90.00
loop_
_atom_site_label
_atom_site_fract_x
_atom_site_fract_y
_atom_site_fract_z
Zr1 0.000 0.000 0.000
As1 0.500 0.500 0.500
I1 0.000 0.500 0.500
```

Summary:
formation energy without anion corrections	0.6245	eV/atom
Fermi-level density of states	5.647	states/eV per cell
relative energy among the computed polymorphs	57.27	kJ/mol of atoms
calculated total energy	-14.7	eV per cell


Record 5
The following is a DFT calculation (PBE) of crystalline MoRuS3 at its relaxed geometry.

CIF file:
```
data_MoRuS3
_space_group_name_H-M_alt 'P m -3 m'
_space_group_IT_number 221
_space_group_name_Hall '-P 4 2 3'
_cell_length_a 4.587
_cell_length_b 4.587
_cell_length_c 4.587
_cell_angle_alpha 90.00
_cell_angle_beta 90.00
_cell_angle_gamma 90.00
loop_
_atom_site_label
_atom_site_fract_x
_atom_site_fract_y
_atom_site_fract_z
Mo1 0.000 0.000 0.000
Ru1 0.500 0.500 0.500
S1 0.000 0.500 0.500
```

Summary:
formation energy without anion corrections	0.8156	eV/atom
Fermi-level density of states	3.216	states/eV per cell
relative energy among the computed polymorphs	7.35	kJ/mol of atoms
calculated total energy	-28.4	eV per cell


Record 6
The following is a DFT calculation (PBE) of crystalline MnCoNi5 at its relaxed geometry.

CIF file:
```
data_MnCoNi5
_space_group_name_H-M_alt 'P 4/m m m'
_space_group_IT_number 123
_space_group_name_Hall '-P 4 2'
_cell_length_a 3.566
_cell_length_b 3.566
_cell_length_c 6.606
_cell_angle_alpha 90.00
_cell_angle_beta 90.00
_cell_angle_gamma 90.00
loop_
_atom_site_label
_atom_site_fract_x
_atom_site_fract_y
_atom_site_fract_z
Mn1 0.000 0.000 0.000
Co1 0.500 0.500 0.500
Ni1 0.000 0.500 0.270
Ni2 0.500 0.500 0.000
```

Summary:
Fermi-level density of states	6.998	states/eV per cell
calculated total energy	-44.0	eV per cell
DFT formation energy	0.17	eV per atom